(1)
DFT (PBEsol) results for a relaxed Zn2Cu crystal.

abc: 3.607 3.756 5.942
angles: 71.57 90.00 90.00
Atoms (fractional coordinates):
Cu  0.000  0.666  0.668
Cu  0.000  0.334  0.332
Zn  0.000  0.000  0.000
Zn  0.500  0.500  0.000
Zn  0.500  0.830  0.340
Zn  0.500  0.170  0.660

Properties
The calculated volume is 12.73 Å³/atom. The value obtained for the size of the total moment is 0.000 μB/atom. The space-group type is Cmmm (65). For the total energy, the calculation gives -2.570 eV per atom. The formation energy comes out at -6.8 kJ per mole of atoms.

(2)
DFT (PBEsol) results for a relaxed ZnCu3 crystal.

abc: 4.433 5.080 8.352
angles: 90.00 90.00 90.00
Atoms (fractional coordinates):
Cu  0.083  0.124  0.750
Cu  0.417  0.624  0.250
Cu  0.583  0.376  0.750
Cu  0.917  0.876  0.250
Cu  0.748  0.627  0.001
Cu  0.752  0.127  0.999
Cu  0.248  0.873  0.499
Cu  0.252  0.373  0.501
Cu  0.252  0.373  0.999
Cu  0.248  0.873  0.001
Cu  0.752  0.127  0.501
Cu  0.748  0.627  0.499
Zn  0.081  0.618  0.750
Zn  0.419  0.118  0.250
Zn  0.581  0.882  0.750
Zn  0.919  0.382  0.250

Properties
The calculated volume is 11.76 Å³/atom. The value obtained for the size of the total moment is 0.000 μB/atom. The space-group type is Pnma (62). For the total energy, the calculation gives -3.702 eV per atom. The formation energy comes out at -5.4 kJ per mole of atoms.

(3)
DFT (PBEsol) results for a relaxed ZnCu3 crystal.

abc: 2.596 4.416 4.379
angles: 100.60 90.00 107.09
Atoms (fractional coordinates):
Zn  0.500  0.000  0.000
Cu  0.749  0.498  0.747
Cu  0.251  0.502  0.253
Cu  0.000  0.000  0.500

Properties
The calculated volume is 11.77 Å³/atom. The value obtained for the size of the total moment is 0.000 μB/atom. The space-group type is C2/m (12). For the total energy, the calculation gives -3.703 eV per atom. The formation energy comes out at -5.5 kJ per mole of atoms.

(4)
DFT (PBEsol) results for a relaxed Zn17Cu12 crystal.

abc: 7.841 7.841 7.841
angles: 109.47 109.47 109.47
Atoms (fractional coordinates):
Cu  0.000  0.190  0.376
Cu  0.000  0.376  0.190
Cu  0.187  0.810  0.810
Cu  0.813  0.624  0.624
Cu  0.810  0.810  0.187
Cu  0.624  0.624  0.813
Cu  0.190  0.376  0.000
Cu  0.376  0.190  0.000
Cu  0.190  0.000  0.376
Cu  0.376  0.000  0.190
Cu  0.624  0.813  0.624
Cu  0.810  0.187  0.810
Zn  0.000  0.690  0.413
Zn  0.000  0.413  0.690
Zn  0.723  0.310  0.310
Zn  0.277  0.587  0.587
Zn  0.310  0.310  0.723
Zn  0.587  0.587  0.277
Zn  0.690  0.413  0.000
Zn  0.413  0.690  0.000
Zn  0.690  0.000  0.413
Zn  0.413  0.000  0.690
Zn  0.587  0.277  0.587
Zn  0.310  0.723  0.310
Zn  0.000  0.000  0.661
Zn  0.000  0.661  0.000
Zn  0.661  0.000  0.000
Zn  0.339  0.339  0.339
Zn  0.000  0.000  0.000

Properties
The calculated volume is 12.80 Å³/atom. The value obtained for the size of the total moment is 0.000 μB/atom. The space-group type is I-43m (217). For the total energy, the calculation gives -2.747 eV per atom. The formation energy comes out at -2.5 kJ per mole of atoms.